Crystalline K6RhF12 at its relaxed geometry. Source: Alexandria via LeMat-Bulk, functional PBE-GGA.

N(E_F), states/eV/cell: 20.0
Uncorrected formation energy, meV/atom: -2208
Magnetization, μB/cell: 3.00
V, Å³/atom: 20.6

Cell lengths 7.4220, 7.4220, 7.4220 Å; angles 98.89, 98.89, 98.89 degrees
Closest atoms and distances in Å follow each position.
Atoms (fractional coordinates):
F: 0.4488 0.5924 0.1594  4 K 2.57-2.64, 1 F 2.82
K: 0.6995 0.8452 0.3953  5 F 2.57-2.88
F: 0.9473 0.0098 0.7389  1 Rh 1.93
F: 0.1594 0.4488 0.5924  4 K 2.57-2.64, 1 F 2.82
F: 0.7389 0.9473 0.0098  1 Rh 1.93
Rh: 0.0000 0.0000 0.0000  6 F 1.93
K: 0.3005 0.1548 0.6047  5 F 2.57-2.88
F: 0.0527 0.9902 0.2611  1 Rh 1.93
K: 0.6047 0.3005 0.1548  5 F 2.57-2.88
F: 0.5924 0.1594 0.4488  4 K 2.57-2.64, 1 F 2.82
F: 0.9902 0.2611 0.0527  1 Rh 1.93
F: 0.0098 0.7389 0.9473  1 Rh 1.93
F: 0.2611 0.0527 0.9902  1 Rh 1.93
F: 0.4076 0.8406 0.5512  4 K 2.57-2.64, 1 F 2.82
F: 0.5512 0.4076 0.8406  4 K 2.57-2.64, 1 F 2.82
F: 0.8406 0.5512 0.4076  4 K 2.57-2.64, 1 F 2.82
K: 0.8452 0.3953 0.6995  5 F 2.57-2.88
K: 0.1548 0.6047 0.3005  5 F 2.57-2.88
K: 0.3953 0.6995 0.8452  5 F 2.57-2.88

---

Crystalline Tm2ThPb at its relaxed geometry. Source: Alexandria via LeMat-Bulk, functional PBE-GGA.

N(E_F), states/eV/cell: 3.0
Magnetization, μB/cell: 0.00
Calculated formation energy, kJ per mole of atoms: -20.2
V, Å³/atom: 29.3

Cell lengths 3.6240, 3.6240, 8.9386 Å; angles 90.00, 90.00, 90.00 degrees
Closest atoms and distances in Å follow each position.
Atoms (fractional coordinates):
Tm: 0.0000 0.0000 0.2370  4 Pb 3.33, 4 Th 3.48, 4 Tm 3.62
Pb: 0.5000 0.5000 0.0000  8 Tm 3.33, 4 Pb 3.62
Tm: 0.0000 0.0000 0.7630  4 Pb 3.33, 4 Th 3.48, 4 Tm 3.62
Th: 0.5000 0.5000 0.5000  8 Tm 3.48, 4 Th 3.62

---

Crystalline MgPdIO2 at its relaxed geometry. Source: Alexandria via LeMat-Bulk, functional PBE-GGA.

N(E_F), states/eV/cell: 7.7
Uncorrected formation energy, meV/atom: -312
Magnetization, μB/cell: 0.26
V, Å³/atom: 20.5

Cell lengths 3.8673, 3.8673, 6.8463 Å; angles 90.00, 90.00, 90.00 degrees
Closest atoms and distances in Å follow each position.
Atoms (fractional coordinates):
O: 0.5000 0.0000 0.0000  2 Mg 1.93
Pd: 0.5000 0.5000 0.5000  4 I 2.73
O: 0.0000 0.5000 0.0000  2 Mg 1.93
I: 0.0000 0.0000 0.5000  4 Pd 2.73
Mg: 0.0000 0.0000 0.0000  4 O 1.93

---

Crystalline Cs4HgI2 at its relaxed geometry. Source: Alexandria via LeMat-Bulk, functional PBE-GGA.

N(E_F), states/eV/cell: 4.8
Uncorrected formation energy, meV/atom: -762
Magnetization, μB/cell: 1.36
V, Å³/atom: 71.3

Cell lengths 7.0541, 7.0541, 11.1991 Å; angles 71.64, 71.64, 90.00 degrees
Closest atoms and distances in Å follow each position.
Atoms (fractional coordinates):
Cs: 0.1960 0.1960 0.6080  1 I 3.74, 1 Hg 3.93
Cs: 0.0000 0.5000 0.0000  2 Hg 3.53
I: 0.3824 0.3824 0.2353  1 Cs 3.74
Cs: 0.5000 0.0000 0.0000  2 Hg 3.53
I: 0.6176 0.6176 0.7647  1 Cs 3.74
Cs: 0.8040 0.8040 0.3920  1 I 3.74, 1 Hg 3.93
Hg: 0.0000 0.0000 0.0000  6 Cs 3.53-3.93

---

Crystalline PmZr2V at its relaxed geometry. Source: Alexandria via LeMat-Bulk, functional PBE-GGA.

N(E_F), states/eV/cell: 5.6
Magnetization, μB/cell: 1.06
Calculated formation energy, kJ per mole of atoms: 39.3
V, Å³/atom: 23.7

Cell lengths 3.1948, 3.1948, 10.8879 Å; angles 81.56, 81.56, 60.00 degrees
Closest atoms and distances in Å follow each position.
Atoms (fractional coordinates):
Zr: 0.1001 0.1001 0.6996  3 V 2.83
Zr: 0.8999 0.8999 0.3004  3 V 2.83
V: 0.5000 0.5000 0.5000  6 Zr 2.83
Pm: 0.0000 0.0000 0.0000  6 Pm 3.19, 2 Zr 3.22

---

Crystalline LiPr3Dy2Se6 at its relaxed geometry. Source: Alexandria via LeMat-Bulk, functional PBE-GGA.

N(E_F), states/eV/cell: 5.1
Uncorrected formation energy, meV/atom: -1781
Magnetization, μB/cell: 0.00
V, Å³/atom: 25.3

Cell lengths 7.1526, 7.1526, 7.2750 Å; angles 99.46, 99.46, 120.13 degrees
Closest atoms and distances in Å follow each position.
Atoms (fractional coordinates):
Pr: 0.5000 0.5000 0.5000  6 Se 3.00-3.08
Se: 0.2488 0.2488 0.7718  1 Li 2.80, 2 Dy 2.87, 3 Pr 3.00-3.08
Li: 0.0000 0.0000 0.0000  6 Se 2.80-2.82
Se: 0.7512 0.7512 0.2282  1 Li 2.80, 2 Dy 2.87, 3 Pr 3.00-3.08
Se: 0.9238 0.5970 0.7697  1 Li 2.82, 2 Dy 2.88-2.89, 3 Pr 3.00-3.06
Pr: 0.1662 0.8338 0.5000  6 Se 3.00-3.06
Pr: 0.8338 0.1662 0.5000  6 Se 3.00-3.06
Se: 0.4030 0.0762 0.2303  1 Li 2.82, 2 Dy 2.88-2.89, 3 Pr 3.00-3.06
Dy: 0.3346 0.6654 0.0000  6 Se 2.87-2.89
Dy: 0.6654 0.3346 0.0000  6 Se 2.87-2.89
Se: 0.0762 0.4030 0.2303  1 Li 2.82, 2 Dy 2.88-2.89, 3 Pr 3.00-3.06
Se: 0.5970 0.9238 0.7697  1 Li 2.82, 2 Dy 2.88-2.89, 3 Pr 3.00-3.06

---

Crystalline KCdPt2 at its relaxed geometry. Source: Alexandria via LeMat-Bulk, functional PBE-GGA.

N(E_F), states/eV/cell: 3.6
Magnetization, μB/cell: 0.00
Calculated formation energy, kJ per mole of atoms: 5.2
V, Å³/atom: 25.2

Cell lengths 3.5603, 3.5603, 7.9512 Å; angles 90.00, 90.00, 90.00 degrees
Closest atoms and distances in Å follow each position.
Atoms (fractional coordinates):
K: 0.5000 0.5000 0.7816  5 Pt 3.20-3.54, 4 K 3.56
Pt: 0.5000 0.5000 0.1843  4 Pt 2.62
Cd: 0.0000 0.0000 0.4396  1 Pt 2.74
Pt: 0.0000 0.0000 0.0946  4 Pt 2.62, 1 Cd 2.74

---

Crystalline U4NbC5 at its relaxed geometry. Source: Alexandria via LeMat-Bulk, functional PBE-GGA.

N(E_F), states/eV/cell: 10.5
Magnetization, μB/cell: 0.00
Calculated formation energy, kJ per mole of atoms: -22.4
V, Å³/atom: 14.2

Cell lengths 3.3710, 4.8213, 9.2409 Å; angles 105.12, 100.51, 90.00 degrees
Closest atoms and distances in Å follow each position.
Atoms (fractional coordinates):
U: 0.4020 0.4020 0.8041  6 C 2.41-2.49
C: 0.7971 0.2971 0.5942  6 U 2.41-2.49
C: 0.4087 0.9087 0.8173  2 Nb 2.32, 4 U 2.41-2.48
C: 0.5913 0.0913 0.1827  2 Nb 2.32, 4 U 2.41-2.48
C: 0.2029 0.7029 0.4058  6 U 2.41-2.49
U: 0.1953 0.1953 0.3907  6 C 2.41-2.48
C: 0.0000 0.5000 0.0000  4 U 2.41, 2 Nb 2.41
Nb: 0.0000 0.0000 0.0000  6 C 2.32-2.41
U: 0.5980 0.5980 0.1959  6 C 2.41-2.49
U: 0.8047 0.8047 0.6093  6 C 2.41-2.48

---

Crystalline KNaHg2Sb at its relaxed geometry. Source: Alexandria via LeMat-Bulk, functional PBE-GGA.

N(E_F), states/eV/cell: 1.9
Uncorrected formation energy, meV/atom: -112
Magnetization, μB/cell: 0.00
V, Å³/atom: 39.8

Cell lengths 5.8796, 5.8796, 5.7522 Å; angles 90.00, 90.00, 90.00 degrees
Closest atoms and distances in Å follow each position.
Atoms (fractional coordinates):
Hg: 0.0000 0.5000 0.0000  2 Sb 2.94
Hg: 0.5000 0.0000 0.0000  2 Sb 2.94
Sb: 0.0000 0.0000 0.0000  2 Na 2.88, 4 Hg 2.94
K: 0.5000 0.5000 0.5000  8 Hg 4.11, 4 Na 4.16
Na: 0.0000 0.0000 0.5000  2 Sb 2.88

---

Crystalline LaThZrSc at its relaxed geometry. Source: Alexandria via LeMat-Bulk, functional PBE-GGA.

N(E_F), states/eV/cell: 4.0
Magnetization, μB/cell: 0.00
Calculated formation energy, kJ per mole of atoms: 11.8
V, Å³/atom: 28.4

Cell lengths 5.4358, 5.4358, 5.4358 Å; angles 60.00, 60.00, 60.00 degrees
Closest atoms and distances in Å follow each position.
Atoms (fractional coordinates):
Sc: 0.5000 0.5000 0.5000  4 La 3.33, 4 Th 3.33
La: 0.7500 0.7500 0.7500  4 Sc 3.33, 4 Zr 3.33
Th: 0.2500 0.2500 0.2500  4 Zr 3.33, 4 Sc 3.33
Zr: 0.0000 0.0000 0.0000  4 Th 3.33, 4 La 3.33

---

Crystalline LaZn2Pt at its relaxed geometry. Source: Alexandria via LeMat-Bulk, functional PBE-GGA.

N(E_F), states/eV/cell: 2.0
Magnetization, μB/cell: 0.00
Calculated formation energy, kJ per mole of atoms: -49.9
V, Å³/atom: 22.2

Cell lengths 3.9036, 3.9023, 5.8205 Å; angles 89.92, 90.00, 90.00 degrees
Closest atoms and distances in Å follow each position.
Atoms (fractional coordinates):
Zn: 0.0000 0.8747 0.0851  2 Pt 2.67, 4 Zn 2.76
La: 0.0000 0.3756 0.5582  4 Pt 3.03, 4 Zn 3.37-3.38
Pt: 0.5000 0.8753 0.7714  4 Zn 2.67
Zn: 0.5000 0.3745 0.0854  2 Pt 2.67, 4 Zn 2.76

---

Crystalline Cu2HgTe at its relaxed geometry. Source: Alexandria via LeMat-Bulk, functional PBE-GGA.

N(E_F), states/eV/cell: 1.2
Uncorrected formation energy, meV/atom: 291
Magnetization, μB/cell: 0.00
V, Å³/atom: 21.8

Cell lengths 8.1177, 6.2912, 3.0663 Å; angles 58.14, 116.12, 138.81 degrees
Closest atoms and distances in Å follow each position.
Atoms (fractional coordinates):
Hg: 0.0000 0.5000 0.5000  4 Cu 2.67
Cu: 0.5000 0.0000 0.5000  2 Hg 2.67, 2 Te 2.67
Cu: 0.0000 0.0000 0.0000  2 Te 2.67, 2 Hg 2.67
Te: 0.5000 0.5000 0.0000  4 Cu 2.67

---

Crystalline Tb2Pm2DyY2 at its relaxed geometry. Source: Alexandria via LeMat-Bulk, functional PBE-GGA.

N(E_F), states/eV/cell: 17.9
Magnetization, μB/cell: 0.00
Calculated formation energy, kJ per mole of atoms: 13.3
V, Å³/atom: 33.0

Cell lengths 5.7202, 5.7202, 8.7975 Å; angles 71.03, 71.03, 60.00 degrees
Closest atoms and distances in Å follow each position.
Atoms (fractional coordinates):
Pm: 0.8609 0.8609 0.4174  1 Dy 3.40, 3 Y 3.50, 1 Tb 3.51, 3 Pm 3.57
Dy: 0.0000 0.0000 0.0000  2 Pm 3.40, 6 Tb 3.53
Y: 0.5745 0.5745 0.2766  4 Tb 3.45-3.50, 3 Pm 3.50, 1 Y 3.64
Y: 0.4255 0.4255 0.7234  4 Tb 3.45-3.50, 3 Pm 3.50, 1 Y 3.64
Tb: 0.7174 0.7174 0.8478  4 Y 3.45-3.50, 1 Pm 3.51, 3 Dy 3.53
Pm: 0.1391 0.1391 0.5826  1 Dy 3.40, 3 Y 3.50, 1 Tb 3.51, 3 Pm 3.57
Tb: 0.2826 0.2826 0.1522  4 Y 3.45-3.50, 1 Pm 3.51, 3 Dy 3.53

---

Crystalline Sr3TbPa3N8 at its relaxed geometry. Source: Alexandria via LeMat-Bulk, functional PBE-GGA.

N(E_F), states/eV/cell: 0.2
Uncorrected formation energy, meV/atom: -1337
Magnetization, μB/cell: 0.00
V, Å³/atom: 17.8

Cell lengths 7.1561, 7.1559, 7.2981 Å; angles 119.36, 90.00, 119.99 degrees
Closest atoms and distances in Å follow each position.
Atoms (fractional coordinates):
Pa: 0.0000 0.5000 0.5000  6 N 2.31-2.42
N: 0.2832 0.0502 0.3173  2 Pa 2.31, 1 Tb 2.40
Pa: 0.5000 0.0000 0.5000  6 N 2.31-2.42
Pa: 0.5000 0.5000 0.5000  6 N 2.31-2.42
Sr: 0.5000 0.5000 0.0000  6 N 2.71-2.84
N: 0.2329 0.9498 0.6827  2 Pa 2.31, 1 Tb 2.40
N: 0.7671 0.5342 0.3174  2 Pa 2.31, 1 Tb 2.40
N: 0.2638 0.5276 0.2914  3 Pa 2.42
Tb: 0.0000 0.0000 0.5000  6 N 2.40
N: 0.7362 0.4724 0.7086  3 Pa 2.42
Sr: 0.0000 0.0000 0.0000  6 N 2.71-2.84
N: 0.7671 0.0502 0.3173  2 Pa 2.31, 1 Tb 2.40
N: 0.7168 0.9498 0.6827  2 Pa 2.31, 1 Tb 2.40
Sr: 0.0000 0.5000 0.0000  6 N 2.71-2.84
N: 0.2329 0.4658 0.6826  2 Pa 2.31, 1 Tb 2.40

---

Crystalline Er4Hg3Pd at its relaxed geometry. Source: Alexandria via LeMat-Bulk, functional PBE-GGA.

N(E_F), states/eV/cell: 5.7
Magnetization, μB/cell: 0.00
Calculated formation energy, kJ per mole of atoms: -56.9
V, Å³/atom: 24.0

Cell lengths 3.6199, 3.6199, 14.6793 Å; angles 90.00, 90.00, 90.00 degrees
Closest atoms and distances in Å follow each position.
Atoms (fractional coordinates):
Hg: 0.5000 0.5000 0.2452  8 Er 3.16-3.22
Pd: 0.5000 0.5000 0.0000  8 Er 3.05
Hg: 0.5000 0.5000 0.5000  8 Er 3.18
Er: 0.0000 0.0000 0.6290  8 Hg 3.16-3.18
Er: 0.0000 0.0000 0.3710  8 Hg 3.16-3.18
Hg: 0.5000 0.5000 0.7548  8 Er 3.16-3.22
Er: 0.0000 0.0000 0.1126  4 Pd 3.05, 4 Hg 3.22, 1 Er 3.30
Er: 0.0000 0.0000 0.8874  4 Pd 3.05, 4 Hg 3.22, 1 Er 3.30

---

Crystalline LiZnI3 at its relaxed geometry. Source: Alexandria via LeMat-Bulk, functional PBE-GGA.

N(E_F), states/eV/cell: 0.0
Uncorrected formation energy, meV/atom: -819
Magnetization, μB/cell: 0.00
V, Å³/atom: 42.8

Cell lengths 7.6995, 7.7031, 10.4582 Å; angles 105.92, 110.36, 119.01 degrees
Closest atoms and distances in Å follow each position.
Atoms (fractional coordinates):
Zn: 0.2990 0.6195 0.6363  4 I 2.56-2.73
Zn: 0.7010 0.3805 0.3637  4 I 2.56-2.73
I: 0.6999 0.0280 0.7672  1 Zn 2.56, 1 Li 2.73
I: 0.3492 0.3404 0.7141  1 Zn 2.64, 2 Li 2.80-2.81
I: 0.9904 0.6394 0.6943  2 Zn 2.71-2.73, 1 Li 2.91
I: 0.6508 0.6596 0.2859  1 Zn 2.64, 2 Li 2.80-2.81
I: 0.0096 0.3606 0.3057  2 Zn 2.71-2.73, 1 Li 2.91
Li: 0.0897 0.0557 0.3755  4 I 2.73-2.91
I: 0.3001 0.9720 0.2328  1 Zn 2.56, 1 Li 2.73
Li: 0.9103 0.9443 0.6245  4 I 2.73-2.91

---

Crystalline Pm3Dy6ErTh2 at its relaxed geometry. Source: Alexandria via LeMat-Bulk, functional PBE-GGA.

N(E_F), states/eV/cell: 15.9
Magnetization, μB/cell: 0.00
Calculated formation energy, kJ per mole of atoms: 1.8
V, Å³/atom: 32.2

Cell lengths 6.1921, 6.1921, 11.8027 Å; angles 95.03, 95.03, 119.97 degrees
Closest atoms and distances in Å follow each position.
Atoms (fractional coordinates):
Pm: 0.1665 0.8335 0.5000  6 Pm 3.57-3.58, 6 Dy 3.60-3.62
Pm: 0.5000 0.5000 0.5000  6 Pm 3.58, 6 Dy 3.59-3.61
Th: 0.6665 0.3335 0.0000  6 Dy 3.51-3.52, 3 Th 3.57-3.58, 3 Er 3.58
Er: 0.0000 0.0000 0.0000  6 Dy 3.53-3.54, 6 Th 3.58
Th: 0.3335 0.6665 0.0000  6 Dy 3.51-3.52, 3 Th 3.57-3.58, 3 Er 3.58
Dy: 0.2552 0.2552 0.7543  2 Th 3.52, 1 Er 3.54, 6 Dy 3.56-3.61, 3 Pm 3.59-3.61
Dy: 0.9182 0.5814 0.7548  2 Th 3.51, 1 Er 3.53, 6 Dy 3.56-3.61, 3 Pm 3.60-3.62
Pm: 0.8335 0.1665 0.5000  6 Pm 3.57-3.58, 6 Dy 3.60-3.62
Dy: 0.4186 0.0818 0.2452  2 Th 3.51, 1 Er 3.53, 6 Dy 3.56-3.61, 3 Pm 3.60-3.62
Dy: 0.0818 0.4186 0.2452  2 Th 3.51, 1 Er 3.53, 6 Dy 3.56-3.61, 3 Pm 3.60-3.62
Dy: 0.5814 0.9182 0.7548  2 Th 3.51, 1 Er 3.53, 6 Dy 3.56-3.61, 3 Pm 3.60-3.62
Dy: 0.7448 0.7448 0.2457  2 Th 3.52, 1 Er 3.54, 6 Dy 3.56-3.61, 3 Pm 3.59-3.61

---

Crystalline Ba2HgHPd at its relaxed geometry. Source: Alexandria via LeMat-Bulk, functional PBE-GGA.

N(E_F), states/eV/cell: 3.2
Magnetization, μB/cell: 0.00
V, Å³/atom: 26.7
Calculated total energy, eV per atom: -3.01

Cell lengths 5.8651, 5.8651, 3.8789 Å; angles 90.00, 90.00, 90.00 degrees
Closest atoms and distances in Å follow each position.
Atoms (fractional coordinates):
H: 0.0000 0.0000 0.0000  2 Pd 1.94
Hg: 0.5000 0.5000 0.5000  8 Ba 3.52, 2 Hg 3.88
Ba: 0.0000 0.5000 0.0000  2 H 2.93
Ba: 0.5000 0.0000 0.0000  2 H 2.93
Pd: 0.0000 0.0000 0.5000  2 H 1.94